This record from Alexandria describes BeTeIO2 after structural relaxation. The functional is GGA-PBE.

Computed properties:
The polymorph energy (0 for the lowest one) is 0.173 eV/atom. Its energy relative to the elements, uncorrected is 202 meV/atom. As for the total energy: -17.3 eV for the cell shown. The space group is P4/mmm.

```
5
Lattice="4.078 0.000 0.000 0.000 4.078 0.000 0.000 0.000 4.757" Properties=species:S:1:pos:R:3 pbc="T T T"
Be 0.000 0.000 0.000
Te 2.039 2.039 2.379
I 0.000 0.000 2.379
O 0.000 2.039 0.000
O 2.039 0.000 0.000
```

***

This record from Alexandria describes LaI3Br after structural relaxation. The functional is GGA-PBE.

Computed properties:
Its energy relative to the elements, uncorrected is -909 meV/atom. As for the total energy: -15.8 eV for the cell shown. The space group is Pm-3m.

```
5
Lattice="6.291 0.000 0.000 0.000 6.291 0.000 0.000 0.000 6.291" Properties=species:S:1:pos:R:3 pbc="T T T"
La 0.000 0.000 0.000
I 0.000 0.000 3.146
I 0.000 3.146 0.000
I 3.146 0.000 0.000
Br 3.146 3.146 3.146
```